A) Here is a relaxed structure of Ga3OsS from Alexandria. Energies are from PBE.

Results
size of the total moment: 0.0 μB/f.u.

Lattice parameters (Å, degrees): 4.808 4.808 4.808 90.00 90.00 90.00
Space group Pm-3m (No. 221)
Unique sites:
Ga 0.000 0.000 0.500 x3
Os 0.000 0.000 0.000 x1
S 0.500 0.500 0.500 x1

---

B) Here is a relaxed structure of Ga3OsS from Alexandria. Energies are from PBE.

Results
size of the total moment: 1.6 μB/f.u.

Lattice parameters (Å, degrees): 4.615 4.615 4.615 90.00 90.00 90.00
Space group Pm-3m (No. 221)
Unique sites:
Ga 0.000 0.000 0.500 x3
Os 0.500 0.500 0.500 x1
S 0.000 0.000 0.000 x1

---

The energy of each structure relative to the most stable one, in meV per atom, is as follows: A) 0; B) 821.

---

A) Here is a relaxed structure of Sc3GaOs from Alexandria. Energies are from PBE.

Results
size of the total moment: 0.0 μB/f.u.

Lattice parameters (Å, degrees): 4.883 4.883 4.883 90.00 90.00 90.00
Space group Pm-3m (No. 221)
Unique sites:
Sc 0.000 0.000 0.500 x3
Ga 0.000 0.000 0.000 x1
Os 0.500 0.500 0.500 x1

---

B) Here is a relaxed structure of Sc3GaOs from Alexandria. Energies are from PBE.

Results
size of the total moment: 0.0 μB/f.u.

Lattice parameters (Å, degrees): 5.004 5.004 5.004 90.00 90.00 90.00
Space group Pm-3m (No. 221)
Unique sites:
Sc 0.000 0.000 0.500 x3
Ga 0.500 0.500 0.500 x1
Os 0.000 0.000 0.000 x1

---

The energy of each structure relative to the most stable one, in meV per atom, is as follows: A) 732; B) 0.

---

A) Here is a relaxed structure of Ga3OsSe from Alexandria. Energies are from PBE.

Results
size of the total moment: 0.0 μB/f.u.

Lattice parameters (Å, degrees): 4.832 4.832 4.832 90.00 90.00 90.00
Space group Pm-3m (No. 221)
Unique sites:
Ga 0.000 0.000 0.500 x3
Os 0.000 0.000 0.000 x1
Se 0.500 0.500 0.500 x1

---

B) Here is a relaxed structure of Ga3OsSe from Alexandria. Energies are from PBE.

Results
size of the total moment: 1.9 μB/f.u.

Lattice parameters (Å, degrees): 4.849 4.849 4.849 90.00 90.00 90.00
Space group Pm-3m (No. 221)
Unique sites:
Ga 0.000 0.000 0.500 x3
Os 0.500 0.500 0.500 x1
Se 0.000 0.000 0.000 x1

---

The energy of each structure relative to the most stable one, in meV per atom, is as follows: A) 0; B) 1154.

---

A) Here is a relaxed structure of GaSiOs3 from Alexandria. Energies are from PBE.

Results
size of the total moment: 0.7 μB/f.u.

Lattice parameters (Å, degrees): 4.484 4.484 4.484 90.00 90.00 90.00
Space group Pm-3m (No. 221)
Unique sites:
Ga 0.000 0.000 0.000 x1
Si 0.500 0.500 0.500 x1
Os 0.000 0.000 0.500 x3

---

B) Here is a relaxed structure of GaSiOs3 from Alexandria. Energies are from PBE.

Results
size of the total moment: 0.7 μB/f.u.

Lattice parameters (Å, degrees): 4.386 4.386 4.386 90.00 90.00 90.00
Space group Pm-3m (No. 221)
Unique sites:
Ga 0.000 0.000 0.000 x1
Si 0.500 0.500 0.500 x1
Os 0.000 0.500 0.500 x3

---

The energy of each structure relative to the most stable one, in meV per atom, is as follows: A) 902; B) 0.

---

A) Here is a relaxed structure of GaSnOs2 from Alexandria. Energies are from PBE.

Results
size of the total moment: 0.0 μB/f.u.

Lattice parameters (Å, degrees): 6.310 6.310 6.310 90.00 90.00 90.00
Space group Fm-3m (No. 225)
Unique sites:
Ga 0.000 0.000 0.000 x4
Sn 0.000 0.000 0.500 x4
Os 0.250 0.250 0.250 x8

---

B) Here is a relaxed structure of GaSnOs2 from Alexandria. Energies are from PBE.

Results
size of the total moment: 0.0 μB/f.u.

Lattice parameters (Å, degrees): 4.149 4.149 17.631 90.00 90.00 90.00
Space group I-42d (No. 122)
Unique sites:
Ga 0.000 0.000 0.000 x4
Sn 0.000 0.000 0.500 x4
Os 0.169 0.250 0.125 x8

---

The energy of each structure relative to the most stable one, in meV per atom, is as follows: A) 0; B) 364.

---

A) Here is a relaxed structure of GaSn3Os from Alexandria. Energies are from PBE.

Results
size of the total moment: 2.1 μB/f.u.

Lattice parameters (Å, degrees): 5.132 5.132 5.132 90.00 90.00 90.00
Space group Pm-3m (No. 221)
Unique sites:
Ga 0.000 0.000 0.000 x1
Sn 0.000 0.000 0.500 x3
Os 0.500 0.500 0.500 x1

---

B) Here is a relaxed structure of GaSn3Os from Alexandria. Energies are from PBE.

Results
size of the total moment: 0.0 μB/f.u.

Lattice parameters (Å, degrees): 5.160 5.160 5.160 90.00 90.00 90.00
Space group Pm-3m (No. 221)
Unique sites:
Ga 0.000 0.000 0.000 x1
Sn 0.000 0.500 0.500 x3
Os 0.500 0.500 0.500 x1

---

The energy of each structure relative to the most stable one, in meV per atom, is as follows: A) 1036; B) 0.

---

A) Here is a relaxed structure of Ga2Sn2Os from Alexandria. Energies are from PBE.

Results
size of the total moment: 0.0 μB/f.u.

Lattice parameters (Å, degrees): 6.595 6.595 4.754 90.00 90.00 90.00
Space group P4/mbm (No. 127)
Unique sites:
Ga 0.145 0.355 0.000 x4
Sn 0.179 0.679 0.500 x4
Os 0.000 0.000 0.000 x2

---

B) Here is a relaxed structure of Ga2Sn2Os from Alexandria. Energies are from PBE.

Results
size of the total moment: 1.1 μB/f.u.

Lattice parameters (Å, degrees): 3.871 3.871 14.762 90.00 90.00 90.00
Space group I4/mmm (No. 139)
Unique sites:
Ga 0.000 0.000 0.082 x4
Sn 0.000 0.500 0.250 x4
Os 0.000 0.000 0.500 x2

---

The energy of each structure relative to the most stable one, in meV per atom, is as follows: A) 0; B) 581.

---

A) Here is a relaxed structure of TaGa3Os from Alexandria. Energies are from PBE.

Results
size of the total moment: 2.1 μB/f.u.

Lattice parameters (Å, degrees): 4.904 4.904 4.904 90.00 90.00 90.00
Space group Pm-3m (No. 221)
Unique sites:
Ta 0.000 0.000 0.000 x1
Ga 0.000 0.000 0.500 x3
Os 0.500 0.500 0.500 x1

---

B) Here is a relaxed structure of TaGa3Os from Alexandria. Energies are from PBE.

Results
size of the total moment: 0.0 μB/f.u.

Lattice parameters (Å, degrees): 4.705 4.705 4.705 90.00 90.00 90.00
Space group Pm-3m (No. 221)
Unique sites:
Ta 0.000 0.000 0.000 x1
Ga 0.000 0.500 0.500 x3
Os 0.500 0.500 0.500 x1

---

The energy of each structure relative to the most stable one, in meV per atom, is as follows: A) 708; B) 0.

---

A) Here is a relaxed structure of TaGaOs3 from Alexandria. Energies are from PBE.

Results
size of the total moment: 0.0 μB/f.u.

Lattice parameters (Å, degrees): 4.438 4.438 4.438 90.00 90.00 90.00
Space group Pm-3m (No. 221)
Unique sites:
Ta 0.000 0.000 0.000 x1
Ga 0.500 0.500 0.500 x1
Os 0.000 0.500 0.500 x3

---

B) Here is a relaxed structure of TaGaOs3 from Alexandria. Energies are from PBE.

Results
size of the total moment: 0.7 μB/f.u.

Lattice parameters (Å, degrees): 4.778 4.778 4.778 90.00 90.00 90.00
Space group Pm-3m (No. 221)
Unique sites:
Ta 0.000 0.000 0.000 x1
Ga 0.500 0.500 0.500 x1
Os 0.000 0.000 0.500 x3

---

The energy of each structure relative to the most stable one, in meV per atom, is as follows: A) 0; B) 803.

---

A) Here is a relaxed structure of TbGa3Os from Alexandria. Energies are from PBE.

Results
size of the total moment: 0.0 μB/f.u.

Lattice parameters (Å, degrees): 7.313 10.939 9.190 90.00 90.00 90.00
Space group Cmcm (No. 63)
Unique sites:
Tb 0.000 0.133 0.250 x4
Tb 0.000 0.349 0.750 x4
Ga 0.000 0.105 0.582 x8
Ga 0.180 0.500 0.000 x8
Ga 0.194 0.367 0.250 x8
Os 0.250 0.250 0.000 x8

---

B) Here is a relaxed structure of TbGa3Os from Alexandria. Energies are from PBE.

Results
size of the total moment: 0.0 μB/f.u.

Lattice parameters (Å, degrees): 6.443 6.443 6.443 90.00 90.00 90.00
Space group Pm-3m (No. 221)
Unique sites:
Tb 0.000 0.000 0.500 x3
Ga 0.000 0.000 0.000 x1
Ga 0.289 0.289 0.289 x8
Os 0.000 0.500 0.500 x3

---

The energy of each structure relative to the most stable one, in meV per atom, is as follows: A) 253; B) 0.

---

A) Here is a relaxed structure of GaTcOs3 from Alexandria. Energies are from PBE.

Results
size of the total moment: 0.0 μB/f.u.

Lattice parameters (Å, degrees): 4.677 4.677 4.677 90.00 90.00 90.00
Space group Pm-3m (No. 221)
Unique sites:
Ga 0.000 0.000 0.000 x1
Tc 0.500 0.500 0.500 x1
Os 0.000 0.500 0.500 x3

---

B) Here is a relaxed structure of GaTcOs3 from Alexandria. Energies are from PBE.

Results
size of the total moment: 2.0 μB/f.u.

Lattice parameters (Å, degrees): 4.445 4.445 4.445 90.00 90.00 90.00
Space group Pm-3m (No. 221)
Unique sites:
Ga 0.000 0.000 0.000 x1
Tc 0.500 0.500 0.500 x1
Os 0.000 0.000 0.500 x3

---

The energy of each structure relative to the most stable one, in meV per atom, is as follows: A) 171; B) 0.

---

A) Here is a relaxed structure of GaTeOs3 from Alexandria. Energies are from PBE.

Results
size of the total moment: 0.7 μB/f.u.

Lattice parameters (Å, degrees): 4.835 4.835 4.835 90.00 90.00 90.00
Space group Pm-3m (No. 221)
Unique sites:
Ga 0.000 0.000 0.000 x1
Te 0.500 0.500 0.500 x1
Os 0.000 0.500 0.500 x3

---

B) Here is a relaxed structure of GaTeOs3 from Alexandria. Energies are from PBE.

Results
size of the total moment: 0.0 μB/f.u.

Lattice parameters (Å, degrees): 4.577 4.577 4.577 90.00 90.00 90.00
Space group Pm-3m (No. 221)
Unique sites:
Ga 0.000 0.000 0.000 x1
Te 0.500 0.500 0.500 x1
Os 0.000 0.000 0.500 x3

---

The energy of each structure relative to the most stable one, in meV per atom, is as follows: A) 575; B) 0.

---

A) Here is a relaxed structure of GaTeOs2 from Alexandria. Energies are from PBE.

Results
size of the total moment: 0.0 μB/f.u.

Lattice parameters (Å, degrees): 5.709 5.709 11.578 90.00 90.00 90.00
Space group I-42d (No. 122)
Unique sites:
Ga 0.000 0.000 0.000 x4
Te 0.000 0.000 0.500 x4
Os 0.235 0.250 0.125 x8

---

B) Here is a relaxed structure of GaTeOs2 from Alexandria. Energies are from PBE.

Results
size of the total moment: 0.0 μB/f.u.

Lattice parameters (Å, degrees): 6.355 6.355 6.355 90.00 90.00 90.00
Space group Fm-3m (No. 225)
Unique sites:
Ga 0.000 0.000 0.000 x4
Te 0.000 0.000 0.500 x4
Os 0.250 0.250 0.250 x8

---

The energy of each structure relative to the most stable one, in meV per atom, is as follows: A) 580; B) 0.